VASP calculation (PBE) on a relaxed Ta2Ir crystal.

a b c (Å): 5.2758 5.2758 5.2758
angles (deg): 60.00 60.00 60.00
Fractional coordinates of all 6 atoms:
Ir  0.0000  0.0000  0.0000
Ir  0.2500  0.2500  0.2500
Ta  0.6250  0.6250  0.1250
Ta  0.6250  0.1250  0.6250
Ta  0.1250  0.6250  0.6250
Ta  0.6250  0.6250  0.6250

Calculated values
- DFT total energy: -10.68 eV per atom
- Energy relative to the elements: 0.18 eV per atom
- Crystal system: cubic